[1]
Compound: BaInGaPd3
Source: Alexandria
Functional: PBE
Structure: relaxed

Computed properties:
Uncorrected energy: -0.3205 Ry/atom
Spin magnetization: 0.00 μB per atom
D(E_F): 10.4 states/eV per cell
Formation energy: -0.48 eV per atom

```
data_BaInGaPd3
_space_group_name_H-M_alt 'C m c m'
_space_group_IT_number 63
_space_group_name_Hall '-C 2c 2'
_cell_length_a 7.246
_cell_length_b 13.629
_cell_length_c 6.083
_cell_angle_alpha 90.00
_cell_angle_beta 90.00
_cell_angle_gamma 90.00
loop_
_atom_site_label
_atom_site_type_symbol
_atom_site_fract_x
_atom_site_fract_y
_atom_site_fract_z
Ba1 Ba 0.000 0.229 0.250
In1 In 0.000 0.477 0.750
Ga1 Ga 0.000 0.103 0.750
Pd1 Pd 0.000 0.281 0.750
Pd2 Pd 0.197 0.000 0.000
```

[2]
Compound: Ba2InGaPd
Source: Alexandria
Functional: PBE
Structure: relaxed

Computed properties:
Uncorrected energy: -0.2449 Ry/atom
Spin magnetization: 0.00 μB per atom
D(E_F): 4.7 states/eV per cell
Formation energy: -0.37 eV per atom

```
data_Ba2InGaPd
_space_group_name_H-M_alt 'P 4/m m m'
_space_group_IT_number 123
_space_group_name_Hall '-P 4 2'
_cell_length_a 6.168
_cell_length_b 6.168
_cell_length_c 4.840
_cell_angle_alpha 90.00
_cell_angle_beta 90.00
_cell_angle_gamma 90.00
loop_
_atom_site_label
_atom_site_type_symbol
_atom_site_fract_x
_atom_site_fract_y
_atom_site_fract_z
Ba1 Ba 0.000 0.500 0.000
In1 In 0.000 0.000 0.500
Ga1 Ga 0.500 0.500 0.500
Pd1 Pd 0.500 0.500 0.000
```

[3]
Compound: BaPrInGa
Source: Alexandria
Functional: PBE
Structure: relaxed

Computed properties:
Uncorrected energy: -0.2514 Ry/atom
Spin magnetization: 0.00 μB per atom
D(E_F): 23.0 states/eV per cell
Formation energy: -0.30 eV per atom

```
data_BaPrInGa
_space_group_name_H-M_alt 'F -4 3 m'
_space_group_IT_number 216
_space_group_name_Hall 'F -4 2 3'
_cell_length_a 8.006
_cell_length_b 8.006
_cell_length_c 8.006
_cell_angle_alpha 90.00
_cell_angle_beta 90.00
_cell_angle_gamma 90.00
loop_
_atom_site_label
_atom_site_type_symbol
_atom_site_fract_x
_atom_site_fract_y
_atom_site_fract_z
Ba1 Ba 0.000 0.000 0.000
Pr1 Pr 0.000 0.000 0.500
In1 In 0.250 0.250 0.750
Ga1 Ga 0.250 0.250 0.250
```

[4]
Compound: Ba2In3GaPt4
Source: Alexandria
Functional: PBE
Structure: relaxed

Computed properties:
Uncorrected energy: -0.3388 Ry/atom
Spin magnetization: 0.00 μB per atom
D(E_F): 4.3 states/eV per cell
Formation energy: -0.68 eV per atom

```
data_Ba2In3GaPt4
_space_group_name_H-M_alt 'P -4 m 2'
_space_group_IT_number 115
_cell_length_a 4.802
_cell_length_b 4.802
_cell_length_c 10.594
_cell_angle_alpha 90.00
_cell_angle_beta 90.00
_cell_angle_gamma 90.00
loop_
_space_group_symop_operation_xyz
'x,y,z'
'y,-x,-z'
'-x,-y,z'
'-y,x,-z'
'-x,y,z'
'-y,-x,-z'
'x,-y,z'
'y,x,-z'
loop_
_atom_site_label
_atom_site_type_symbol
_atom_site_fract_x
_atom_site_fract_y
_atom_site_fract_z
Ba1 Ba 0.000 0.500 0.242
In1 In 0.000 0.500 0.877
In2 In 0.500 0.500 0.500
Ga1 Ga 0.000 0.000 0.500
Pt1 Pt 0.000 0.000 0.000
Pt2 Pt 0.000 0.500 0.617
Pt3 Pt 0.500 0.500 0.000
```

[5]
Compound: BaInGa2Re
Source: Alexandria
Functional: PBE
Structure: relaxed

Computed properties:
Uncorrected energy: -0.3568 Ry/atom
Spin magnetization: 0.00 μB per atom
D(E_F): 0.9 states/eV per cell
Formation energy: -0.22 eV per atom

```
data_BaInGa2Re
_space_group_name_H-M_alt 'P 4/m m m'
_space_group_IT_number 123
_space_group_name_Hall '-P 4 2'
_cell_length_a 4.978
_cell_length_b 4.978
_cell_length_c 5.241
_cell_angle_alpha 90.00
_cell_angle_beta 90.00
_cell_angle_gamma 90.00
loop_
_atom_site_label
_atom_site_type_symbol
_atom_site_fract_x
_atom_site_fract_y
_atom_site_fract_z
Ba1 Ba 0.000 0.000 0.000
In1 In 0.500 0.500 0.000
Ga1 Ga 0.000 0.500 0.500
Re1 Re 0.500 0.500 0.500
```

[6]
Compound: Ba2InGaRh
Source: Alexandria
Functional: PBE
Structure: relaxed

Computed properties:
Uncorrected energy: -0.2693 Ry/atom
Spin magnetization: 0.00 μB per atom
D(E_F): 5.7 states/eV per cell
Formation energy: -0.27 eV per atom

```
data_Ba2InGaRh
_space_group_name_H-M_alt 'P 4/m m m'
_space_group_IT_number 123
_space_group_name_Hall '-P 4 2'
_cell_length_a 6.059
_cell_length_b 6.059
_cell_length_c 4.835
_cell_angle_alpha 90.00
_cell_angle_beta 90.00
_cell_angle_gamma 90.00
loop_
_atom_site_label
_atom_site_type_symbol
_atom_site_fract_x
_atom_site_fract_y
_atom_site_fract_z
Ba1 Ba 0.000 0.500 0.000
In1 In 0.000 0.000 0.500
Ga1 Ga 0.500 0.500 0.500
Rh1 Rh 0.500 0.500 0.000
```

[7]
Compound: BaInGa2Ru
Source: Alexandria
Functional: PBE
Structure: relaxed

Computed properties:
Uncorrected energy: -0.3224 Ry/atom
Spin magnetization: 0.00 μB per atom
D(E_F): 3.4 states/eV per cell
Formation energy: -0.39 eV per atom

```
data_BaInGa2Ru
_space_group_name_H-M_alt 'P 4/m m m'
_space_group_IT_number 123
_space_group_name_Hall '-P 4 2'
_cell_length_a 4.903
_cell_length_b 4.903
_cell_length_c 5.190
_cell_angle_alpha 90.00
_cell_angle_beta 90.00
_cell_angle_gamma 90.00
loop_
_atom_site_label
_atom_site_type_symbol
_atom_site_fract_x
_atom_site_fract_y
_atom_site_fract_z
Ba1 Ba 0.000 0.000 0.000
In1 In 0.500 0.500 0.000
Ga1 Ga 0.000 0.500 0.500
Ru1 Ru 0.500 0.500 0.500
```

[8]
Compound: BaInGaS4
Source: Alexandria
Functional: PBE
Structure: relaxed

Computed properties:
Uncorrected energy: -0.3282 Ry/atom
Spin magnetization: 0.00 μB per atom
D(E_F): 0.0 states/eV per cell

```
data_BaInGaS4
_space_group_name_H-M_alt 'P 1 21/m 1'
_space_group_IT_number 11
_cell_length_a 6.384
_cell_length_b 7.283
_cell_length_c 8.334
_cell_angle_alpha 90.00
_cell_angle_beta 103.34
_cell_angle_gamma 90.00
loop_
_space_group_symop_operation_xyz
'x,y,z'
'-x,-y,-z'
'-x,y+1/2,-z'
'x,-y+1/2,z'
loop_
_atom_site_label
_atom_site_type_symbol
_atom_site_fract_x
_atom_site_fract_y
_atom_site_fract_z
Ba1 Ba 0.228 0.250 0.082
In1 In 0.288 0.250 0.647
Ga1 Ga 0.205 0.750 0.320
S1 S 0.039 0.013 0.726
S2 S 0.385 0.750 0.107
S3 S 0.483 0.750 0.552
```

[9]
Compound: Ba2InGaS5
Source: Alexandria
Functional: PBE
Structure: relaxed

Computed properties:
Uncorrected energy: -0.3434 Ry/atom
Spin magnetization: 0.00 μB per atom
D(E_F): 0.0 states/eV per cell

```
data_Ba2InGaS5
_space_group_name_H-M_alt 'C m c 21'
_space_group_IT_number 36
_cell_length_a 3.992
_cell_length_b 18.743
_cell_length_c 12.703
_cell_angle_alpha 90.00
_cell_angle_beta 90.00
_cell_angle_gamma 90.00
loop_
_space_group_symop_operation_xyz
'x,y,z'
'-x,-y,z+1/2'
'-x,y,z'
'x,-y,z+1/2'
'x+1/2,y+1/2,z'
'-x+1/2,-y+1/2,z+1/2'
'-x+1/2,y+1/2,z'
'x+1/2,-y+1/2,z+1/2'
loop_
_atom_site_label
_atom_site_type_symbol
_atom_site_fract_x
_atom_site_fract_y
_atom_site_fract_z
Ba1 Ba 0.000 0.117 0.000
Ba2 Ba 0.000 0.125 0.626
In1 In 0.000 0.216 0.343
Ga1 Ga 0.000 0.437 0.756
S1 S 0.000 0.051 0.357
S2 S 0.000 0.288 0.979
S3 S 0.000 0.317 0.702
S4 S 0.000 0.349 0.315
S5 S 0.000 0.496 0.602
```

[10]
Compound: Ba2InGaSe5
Source: Alexandria
Functional: PBE
Structure: relaxed

Computed properties:
Uncorrected energy: -0.3122 Ry/atom
Spin magnetization: 0.00 μB per atom

```
data_Ba2InGaSe5
_space_group_name_H-M_alt 'C m c 21'
_space_group_IT_number 36
_cell_length_a 4.141
_cell_length_b 20.130
_cell_length_c 12.960
_cell_angle_alpha 90.00
_cell_angle_beta 90.00
_cell_angle_gamma 90.00
loop_
_space_group_symop_operation_xyz
'x,y,z'
'-x,-y,z+1/2'
'-x,y,z'
'x,-y,z+1/2'
'x+1/2,y+1/2,z'
'-x+1/2,-y+1/2,z+1/2'
'-x+1/2,y+1/2,z'
'x+1/2,-y+1/2,z+1/2'
loop_
_atom_site_label
_atom_site_type_symbol
_atom_site_fract_x
_atom_site_fract_y
_atom_site_fract_z
Ba1 Ba 0.000 0.116 0.000
Ba2 Ba 0.000 0.119 0.618
In1 In 0.000 0.224 0.341
Ga1 Ga 0.000 0.438 0.763
Se1 Se 0.000 0.042 0.368
Se2 Se 0.000 0.284 0.984
Se3 Se 0.000 0.320 0.705
Se4 Se 0.000 0.352 0.310
Se5 Se 0.000 0.494 0.599
```

What did the eighth record say?
Compound: BaInGaS4
Source: Alexandria
Functional: PBE
Structure: relaxed

Computed properties:
Uncorrected energy: -0.3282 Ry/atom
Spin magnetization: 0.00 μB per atom
D(E_F): 0.0 states/eV per cell

```
data_BaInGaS4
_space_group_name_H-M_alt 'P 1 21/m 1'
_space_group_IT_number 11
_cell_length_a 6.384
_cell_length_b 7.283
_cell_length_c 8.334
_cell_angle_alpha 90.00
_cell_angle_beta 103.34
_cell_angle_gamma 90.00
loop_
_space_group_symop_operation_xyz
'x,y,z'
'-x,-y,-z'
'-x,y+1/2,-z'
'x,-y+1/2,z'
loop_
_atom_site_label
_atom_site_type_symbol
_atom_site_fract_x
_atom_site_fract_y
_atom_site_fract_z
Ba1 Ba 0.228 0.250 0.082
In1 In 0.288 0.250 0.647
Ga1 Ga 0.205 0.750 0.320
S1 S 0.039 0.013 0.726
S2 S 0.385 0.750 0.107
S3 S 0.483 0.750 0.552
```

Question: Number 2 is which compound?
Answer: Ba2InGaPd

Question: What is the formula in the fifth record?
Answer: BaInGa2Re